SiAgTe2 PBE optimized geometry; DOS at the Fermi energy = 2.0 states/eV per cell; polymorph energy (0 for the lowest one) = 33.18 kJ per mole of atoms; ρ = 6.88 g/cm³; total magnetic moment = 0.00 μB per atom; ΔE_f (raw) = 0.376 eV/atom
1.0
0.0000 3.6136 3.6136
3.6136 0.0000 3.6136
3.6136 3.6136 0.0000
Si Te Ag
1 2 1
direct
0.0000 0.0000 0.0000
0.2500 0.2500 0.2500
0.7500 0.7500 0.7500
0.5000 0.5000 0.5000

---

SiAgTe2 PBE optimized geometry; DOS at the Fermi energy = 0.8 states/eV per cell; polymorph energy (0 for the lowest one) = 13.72 kJ per mole of atoms; ρ = 6.09 g/cm³; total magnetic moment = 0.00 μB per atom; ΔE_f (raw) = 0.175 eV/atom
1.0
7.2514 0.0171 0.0183
6.3436 3.5131 0.0183
0.1279 0.0332 4.2030
Ag Si Te
1 1 2
direct
0.4739 0.4739 0.3941
0.7041 0.7041 0.8379
0.0469 0.0469 0.8840
0.2750 0.2750 0.3840

---

Question: Which value of polymorph energy (0 for the lowest one) does entry 2 give?
Answer: 13.72 kJ per mole of atoms